{
  "formula": "Cu4Bi4Se9",
  "functional": "PBE",
  "state": "optimized geometry",
  "dft_energy_ev_per_atom": -3.935,
  "cell": [[32.971, 0.000, 0.000], [0.000, 4.133, 0.000], [0.000, 0.000, 12.326]],
  "species": ["Cu", "Cu", "Cu", "Cu", "Cu", "Cu", "Cu", "Cu", "Cu", "Cu", "Cu", "Cu", "Cu", "Cu", "Cu", "Cu", "Bi", "Bi", "Bi", "Bi", "Bi", "Bi", "Bi", "Bi", "Bi", "Bi", "Bi", "Bi", "Bi", "Bi", "Bi", "Bi", "Se", "Se", "Se", "Se", "Se", "Se", "Se", "Se", "Se", "Se", "Se", "Se", "Se", "Se", "Se", "Se", "Se", "Se", "Se", "Se", "Se", "Se", "Se", "Se", "Se", "Se", "Se", "Se", "Se", "Se", "Se", "Se", "Se", "Se", "Se", "Se"],
  "frac_coords": [[0.013, 0.250, 0.071], [0.138, 0.250, 0.613], [0.184, 0.750, 0.651], [0.197, 0.250, 0.072], [0.303, 0.750, 0.572], [0.316, 0.250, 0.151], [0.362, 0.750, 0.113], [0.487, 0.750, 0.571], [0.513, 0.250, 0.429], [0.638, 0.250, 0.887], [0.684, 0.750, 0.849], [0.697, 0.250, 0.428], [0.803, 0.750, 0.928], [0.816, 0.250, 0.349], [0.862, 0.750, 0.387], [0.987, 0.750, 0.929], [0.029, 0.250, 0.623], [0.090, 0.750, 0.897], [0.108, 0.750, 0.262], [0.221, 0.250, 0.352], [0.279, 0.750, 0.852], [0.392, 0.250, 0.762], [0.410, 0.250, 0.397], [0.471, 0.750, 0.123], [0.529, 0.250, 0.877], [0.590, 0.750, 0.603], [0.608, 0.750, 0.238], [0.721, 0.250, 0.148], [0.779, 0.750, 0.648], [0.892, 0.250, 0.738], [0.910, 0.250, 0.103], [0.971, 0.750, 0.377], [0.021, 0.250, 0.864], [0.031, 0.250, 0.383], [0.086, 0.250, 0.105], [0.099, 0.750, 0.667], [0.141, 0.250, 0.417], [0.153, 0.250, 0.914], [0.186, 0.750, 0.177], [0.195, 0.250, 0.748], [0.234, 0.750, 0.508], [0.266, 0.250, 0.008], [0.305, 0.750, 0.248], [0.314, 0.250, 0.677], [0.347, 0.750, 0.414], [0.359, 0.750, 0.917], [0.401, 0.250, 0.167], [0.414, 0.750, 0.605], [0.469, 0.750, 0.883], [0.479, 0.750, 0.364], [0.521, 0.250, 0.636], [0.531, 0.250, 0.117], [0.586, 0.250, 0.395], [0.599, 0.750, 0.833], [0.641, 0.250, 0.083], [0.653, 0.250, 0.586], [0.686, 0.750, 0.323], [0.695, 0.250, 0.752], [0.734, 0.750, 0.992], [0.766, 0.250, 0.492], [0.805, 0.750, 0.252], [0.814, 0.250, 0.823], [0.847, 0.750, 0.086], [0.859, 0.750, 0.583], [0.901, 0.250, 0.333], [0.914, 0.750, 0.895], [0.969, 0.750, 0.617], [0.979, 0.750, 0.136]]
}